The following is a DFT calculation (PBE) of an optimized crystal structure of NdLuTc.

extended XYZ file:
```
3
Lattice="3.4855 0.0000 0.0000 0.0000 3.4855 0.0000 -1.7427 -1.7427 6.2603" Properties=species:S:1:pos:R:3 pbc="T T T"
Nd 0.0000 0.0000 0.4171
Tc 1.7427 1.7427 2.1577
Lu 0.0000 0.0000 3.6855
```

Output
**DOS(E_F)**: 4.04 states/eV per cell
**Uncorrected energy**: -6.544 eV/atom